A plane-wave DFT calculation with PBE was carried out for a relaxed structure of Na2SiOs4.

Values from the calculation:
The total energy comes out at -41.227 eV for the cell shown.

Cell and atoms, written as POSCAR:
```
Na2SiOs4
1.0
-2.2092 2.2092 7.1084
2.2092 -2.2092 7.1084
2.2092 2.2092 -7.1084
Na Si Os
2 1 4
Cartesian
0.0000 0.0000 2.0677 Na
0.0000 0.0000 12.1491 Na
0.0000 0.0000 7.1084 Si
2.2092 0.0000 0.0000 Os
0.0000 0.0000 4.9499 Os
0.0000 2.2092 0.0000 Os
0.0000 0.0000 9.2668 Os
```


A plane-wave DFT calculation with PBE was carried out for a relaxed structure of LaGdNi4.

Values from the calculation:
Its formation energy is -0.0249 eV per atom.

Cell and atoms, written as POSCAR:
```
LaGdNi4
1.0
5.4604 0.0000 0.0000
-2.7302 4.7289 0.0000
0.0000 0.0000 8.1164
La Gd Ni
2 2 8
Cartesian
0.0000 0.0000 0.0000 La
0.0000 0.0000 4.0582 La
0.0000 3.1526 0.0000 Gd
2.7302 1.5763 0.0000 Gd
-1.3651 2.3644 2.2387 Ni
-1.3651 2.3644 5.8778 Ni
0.0000 3.1526 4.0582 Ni
2.7302 0.0000 2.2387 Ni
2.7302 0.0000 5.8778 Ni
1.3651 2.3644 2.2387 Ni
1.3651 2.3644 5.8778 Ni
2.7302 1.5763 4.0582 Ni
```


A plane-wave DFT calculation with PBE was carried out for a relaxed structure of AcTaAs.

Values from the calculation:
The total energy comes out at -17.052 eV for the cell shown.

Cell and atoms, written as POSCAR:
```
AcTaAs
1.0
0.0000 3.6758 3.6758
3.6758 0.0000 3.6758
3.6758 3.6758 0.0000
Ac Ta As
1 1 1
Cartesian
0.0000 0.0000 0.0000 Ac
1.8379 1.8379 1.8379 Ta
5.5137 5.5137 5.5137 As
```


A plane-wave DFT calculation with PBE was carried out for a relaxed structure of TbErGe4.

Values from the calculation:
The total energy comes out at -31.345 eV for the cell shown.

Cell and atoms, written as POSCAR:
```
TbErGe4
1.0
3.9244 0.0000 0.0000
0.0000 2.0219 8.0420
0.0000 -2.0219 8.0420
Tb Er Ge
1 1 4
Cartesian
0.0000 0.0000 0.0000 Tb
1.9622 0.0000 3.3351 Er
0.0000 0.0000 5.7085 Ge
0.0000 0.0000 10.5841 Ge
1.9622 0.0000 8.9121 Ge
1.9622 0.0000 13.6750 Ge
```


A plane-wave DFT calculation with PBE was carried out for a relaxed structure of Tl2Cd2O3.

Values from the calculation:
The total energy comes out at -52.912 eV for the cell shown.

Cell and atoms, written as POSCAR:
```
Tl2Cd2O3
1.0
6.3001 0.0000 0.0000
0.0000 6.6008 0.0000
-3.2987 0.0000 6.0802
Tl Cd O
4 4 6
Cartesian
-0.4048 1.0155 2.3586 Tl
-2.0542 2.2849 5.3987 Tl
5.0556 4.3159 0.6815 Tl
3.4062 5.5853 3.7216 Tl
0.3309 4.1459 3.7066 Cd
1.9803 5.7552 0.6665 Cd
1.0211 0.8455 5.4137 Cd
2.6705 2.4548 2.3736 Cd
0.0000 0.0000 0.0000 O
-1.6494 3.3004 3.0401 O
1.1724 3.9455 1.5952 O
-0.4769 5.9557 4.6353 O
3.4783 0.6451 1.4449 O
1.8290 2.6553 4.4850 O
```


A plane-wave DFT calculation with PBE was carried out for a relaxed structure of Ta4ZnAsN2.

Values from the calculation:
The total energy comes out at -74.043 eV for the cell shown.

Cell and atoms, written as POSCAR:
```
Ta4ZnAsN2
1.0
3.2021 0.0000 0.0000
-1.6011 2.7731 0.0000
0.0000 0.0000 12.7195
Ta Zn As N
4 1 1 2
Cartesian
0.0000 0.0000 1.9123 Ta
0.0000 0.0000 10.8072 Ta
1.6011 0.9244 4.2311 Ta
1.6011 0.9244 8.4884 Ta
0.0000 0.0000 6.3598 Zn
1.6011 0.9244 0.0000 As
0.0000 1.8488 3.1120 N
0.0000 1.8488 9.6076 N
```